Compound: CaTc6
Source: Alexandria via LeMat-Bulk
Functional: PBE
Structure: optimized geometry

Calculated values
energy of formation from the pure elements	885	meV/atom

Cell: 5.891 5.891 5.891 Å, 109.47 109.47 109.47°
Sites, in units of the cell vectors:
1 Tc 0.750 0.500 0.250
2 Tc 0.250 0.750 0.500
3 Tc 0.750 0.250 0.500
4 Tc 0.500 0.250 0.750
5 Tc 0.250 0.500 0.750
6 Tc 0.500 0.750 0.250
7 Ca 0.000 0.000 0.000

=====

Compound: CaTc3
Source: Alexandria via LeMat-Bulk
Functional: PBE
Structure: optimized geometry

Calculated values
distance to the lowest polymorph of the same formula	0.1603	eV/atom
energy of formation from the pure elements	514	meV/atom

Cell: 4.054 2.918 6.375 Å, 75.17 90.00 90.00°
Sites, in units of the cell vectors:
1 Ca 0.000 0.000 0.000
2 Tc 0.500 0.711 0.689
3 Tc 0.000 0.500 0.500
4 Tc 0.500 0.289 0.311

=====

Compound: Ca5Tc
Source: Alexandria via LeMat-Bulk
Functional: PBE
Structure: optimized geometry

Calculated values
distance to the lowest polymorph of the same formula	0.0000	eV/atom
energy of formation from the pure elements	300	meV/atom

Cell: 6.814 6.814 9.459 Å, 67.72 67.72 30.67°
Site moments in Bohr magnetons follow the coordinates.
Sites, in units of the cell vectors:
1 Tc 0.694 0.694 0.111  0.91
2 Ca 0.321 0.321 0.236  0.00
3 Ca 0.033 0.033 0.381  0.00
4 Ca 0.356 0.356 0.841  0.00
5 Ca 0.694 0.694 0.611  0.01
6 Ca 0.068 0.068 0.986  0.00

=====

Compound: Ca4TcTe
Source: Alexandria via LeMat-Bulk
Functional: PBE
Structure: optimized geometry

Calculated values
formation energy (no corrections)	0.626	eV/atom

Cell: 6.453 6.453 6.453 Å, 60.00 60.00 60.00°
Site moments in Bohr magnetons follow the coordinates.
Sites, in units of the cell vectors:
1 Ca 0.376 0.872 0.376  -0.06
2 Ca 0.376 0.376 0.872  -0.06
3 Ca 0.872 0.376 0.376  -0.06
4 Ca 0.376 0.376 0.376  -0.06
5 Tc 0.750 0.750 0.750  2.62
6 Te 0.000 0.000 0.000  0.03

=====

Compound: CaTc2Te2
Source: Alexandria via LeMat-Bulk
Functional: PBE
Structure: optimized geometry

Calculated values
distance to the lowest polymorph of the same formula	0.0000	eV/atom
formation energy (no corrections)	-0.144	eV/atom

Cell: 4.472 4.472 6.705 Å, 70.52 70.52 90.00°
Sites, in units of the cell vectors:
1 Te 0.362 0.362 0.276
2 Te 0.638 0.638 0.724
3 Tc 0.750 0.250 0.500
4 Tc 0.250 0.750 0.500
5 Ca 0.000 0.000 0.000

=====

Compound: CaTcTe2
Source: Alexandria via LeMat-Bulk
Functional: PBE
Structure: optimized geometry

Calculated values
distance to the lowest polymorph of the same formula	0.0886	eV/atom
formation energy (no corrections)	-0.373	eV/atom

Cell: 4.788 4.233 6.170 Å, 69.95 90.00 90.00°
Sites, in units of the cell vectors:
1 Ca 0.000 0.611 0.404
2 Tc 0.500 0.812 0.001
3 Te 0.500 0.180 0.265
4 Te 0.000 0.897 0.831

=====

Compound: CaTcTe2
Source: Alexandria via LeMat-Bulk
Functional: PBE
Structure: optimized geometry

Calculated values
distance to the lowest polymorph of the same formula	0.4649	eV/atom
formation energy (no corrections)	0.003	eV/atom

Cell: 10.357 10.357 10.357 Å, 19.50 19.50 19.50°
Site moments in Bohr magnetons follow the coordinates.
Sites, in units of the cell vectors:
1 Tc 0.745 0.745 0.745  0.45
2 Te 0.240 0.240 0.240  0.00
3 Te 0.024 0.024 0.024  0.02
4 Ca 0.491 0.491 0.491  0.04

=====

Compound: CaTcTe2
Source: Alexandria via LeMat-Bulk
Functional: PBE
Structure: optimized geometry

Calculated values
distance to the lowest polymorph of the same formula	0.6014	eV/atom
formation energy (no corrections)	0.140	eV/atom

Cell: 9.028 9.028 9.028 Å, 30.29 30.29 30.29°
Site moments in Bohr magnetons follow the coordinates.
Sites, in units of the cell vectors:
1 Te 0.102 0.102 0.102  0.07
2 Te 0.898 0.898 0.898  0.07
3 Ca 0.500 0.500 0.500  0.04
4 Tc 0.000 0.000 0.000  3.58

=====

Compound: CaTc2Te2
Source: Alexandria via LeMat-Bulk
Functional: PBE
Structure: optimized geometry

Calculated values
distance to the lowest polymorph of the same formula	0.0421	eV/atom
formation energy (no corrections)	-0.102	eV/atom

Cell: 4.960 4.960 5.803 Å, 64.70 64.70 90.00°
Sites, in units of the cell vectors:
1 Te 0.750 0.250 0.500
2 Te 0.250 0.750 0.500
3 Ca 0.000 0.000 0.000
4 Tc 0.376 0.376 0.248
5 Tc 0.624 0.624 0.752

=====

Compound: CaTcTe
Source: Alexandria via LeMat-Bulk
Functional: PBE
Structure: optimized geometry

Calculated values
distance to the lowest polymorph of the same formula	0.2059	eV/atom
formation energy (no corrections)	-0.136	eV/atom

Cell: 6.248 6.248 3.442 Å, 74.01 74.01 31.98°
Sites, in units of the cell vectors:
1 Te 0.703 0.703 0.297
2 Tc 0.305 0.305 0.695
3 Ca 0.992 0.992 0.008

=====

Compound: CaTcTe2
Source: Alexandria via LeMat-Bulk
Functional: PBE
Structure: optimized geometry

Calculated values
distance to the lowest polymorph of the same formula	0.2091	eV/atom
formation energy (no corrections)	-0.253	eV/atom

Cell: 4.257 4.258 6.033 Å, 90.00 90.00 90.00°
Site moments in Bohr magnetons follow the coordinates.
Sites, in units of the cell vectors:
1 Tc 0.500 0.500 0.875  2.80
2 Te 0.500 0.500 0.375  0.04
3 Te 0.000 0.000 0.875  0.04
4 Ca 0.000 0.000 0.375  0.01

=====

Compound: CaTcTe2
Source: Alexandria via LeMat-Bulk
Functional: PBE
Structure: optimized geometry

Calculated values
distance to the lowest polymorph of the same formula	0.0955	eV/atom
formation energy (no corrections)	-0.366	eV/atom

Cell: 4.867 4.867 6.859 Å, 71.41 71.41 43.32°
Sites, in units of the cell vectors:
1 Tc 0.248 0.248 0.080
2 Te 0.937 0.937 0.158
3 Te 0.765 0.765 0.771
4 Ca 0.551 0.551 0.491

=====

Compound: CaTcTe2
Source: Alexandria via LeMat-Bulk
Functional: PBE
Structure: optimized geometry

Calculated values
distance to the lowest polymorph of the same formula	0.2775	eV/atom
formation energy (no corrections)	-0.184	eV/atom

Cell: 5.033 5.033 5.033 Å, 60.00 60.00 60.00°
Site moments in Bohr magnetons follow the coordinates.
Sites, in units of the cell vectors:
1 Ca 0.000 0.000 0.000  0.02
2 Te 0.250 0.250 0.250  -0.01
3 Te 0.750 0.750 0.750  -0.01
4 Tc 0.500 0.500 0.500  0.87

=====

Compound: CaTcTe2
Source: Alexandria via LeMat-Bulk
Functional: PBE
Structure: optimized geometry

Calculated values
distance to the lowest polymorph of the same formula	0.0000	eV/atom
formation energy (no corrections)	-0.462	eV/atom

Cell: 4.270 4.270 6.819 Å, 71.76 71.76 59.99°
Sites, in units of the cell vectors:
1 Te 0.518 0.518 0.445
2 Te 0.982 0.982 0.055
3 Tc 0.250 0.250 0.250
4 Ca 0.750 0.750 0.750

=====

Compound: CaTcTe2
Source: Alexandria via LeMat-Bulk
Functional: PBE
Structure: optimized geometry

Calculated values
distance to the lowest polymorph of the same formula	0.1285	eV/atom
formation energy (no corrections)	-0.333	eV/atom

Cell: 7.461 7.461 7.461 Å, 151.95 149.34 42.03°
Site moments in Bohr magnetons follow the coordinates.
Sites, in units of the cell vectors:
1 Tc 0.207 0.707 0.500  0.81
2 Te 0.062 0.062 0.000  -0.01
3 Te 0.779 0.279 0.500  -0.01
4 Ca 0.451 0.451 0.000  0.00

=====

Number 1: total energy -58.0 eV/f.u., size of the total moment 0.000 μB/f.u.. Number 2: total energy -31.0 eV/f.u., size of the total moment 0.000 μB/f.u.. Number 3: total energy -18.6 eV/f.u., size of the total moment 1.061 μB/f.u.. Number 4: total energy -17.8 eV/f.u., size of the total moment 2.239 μB/f.u.. Number 5: total energy -29.7 eV/f.u., size of the total moment 0.000 μB/f.u.. Number 6: total energy -20.1 eV/f.u., size of the total moment 0.000 μB/f.u.. Number 7: total energy -18.6 eV/f.u., size of the total moment 0.719 μB/f.u.. Number 8: total energy -18.1 eV/f.u., size of the total moment 4.839 μB/f.u.. Number 9: total energy -29.5 eV/f.u., size of the total moment 0.000 μB/f.u.. Number 10: total energy -15.9 eV/f.u., size of the total moment 0.000 μB/f.u.. Number 11: total energy -19.7 eV/f.u., size of the total moment 3.352 μB/f.u.. Number 12: total energy -20.1 eV/f.u., size of the total moment 0.000 μB/f.u.. Number 13: total energy -19.4 eV/f.u., size of the total moment 0.977 μB/f.u.. Number 14: total energy -20.5 eV/f.u., size of the total moment 0.001 μB/f.u.. Number 15: total energy -20.0 eV/f.u., size of the total moment 0.856 μB/f.u..